[1]
The following is a GGA-PBE calculation of crystalline Tb6In2N at its relaxed geometry, from Alexandria.

Cell: 6.903 6.903 6.904 Å, 60.00 60.00 60.00°
Element x y z (fractional)
Tb (0.256, 0.256, 0.744)
Tb (0.256, 0.744, 0.256)
Tb (0.744, 0.256, 0.744)
Tb (0.744, 0.256, 0.256)
Tb (0.256, 0.744, 0.744)
Tb (0.744, 0.744, 0.256)
In (0.250, 0.250, 0.250)
In (0.750, 0.750, 0.750)
N (0.500, 0.500, 0.500)

Summary:
- Final energy: -5.251 eV/atom
- Uncorrected formation energy: -0.631 eV/atom

[2]
The following is a GGA-PBE calculation of crystalline Cd3Mo at its relaxed geometry, from Alexandria.

Cell: 2.901 5.297 5.389 Å, 100.69 90.00 105.89°
Element x y z (fractional)
Cd (0.003, 0.005, 0.015)
Cd (0.497, 0.995, 0.485)
Cd (0.250, 0.500, 0.750)
Mo (0.750, 0.500, 0.250)

Summary:
- Final energy: -2.997 eV/atom
- Formation energy: 0.397 eV per atom

[3]
The following is a GGA-PBE calculation of crystalline NaSrGa2 at its relaxed geometry, from Alexandria.

Cell: 4.927 4.927 10.712 Å, 76.71 76.71 90.00°
Element x y z (fractional)
Sr (0.000, 0.000, 0.000)
Sr (0.750, 0.250, 0.500)
Ga (0.470, 0.125, 0.250)
Ga (0.280, 0.625, 0.250)
Ga (0.375, 0.530, 0.750)
Ga (0.875, 0.720, 0.750)
Na (0.500, 0.500, 0.000)
Na (0.250, 0.750, 0.500)

Summary:
- Final energy: -2.248 eV/atom
- Formation energy: 0.016 eV per atom

[4]
The following is a GGA-PBE calculation of crystalline LaUSbO2 at its relaxed geometry, from Alexandria.

Cell: 3.964 3.964 7.061 Å, 106.30 106.30 90.00°
Site moments in Bohr magnetons follow the coordinates.
Element x y z (fractional)
La (0.853, 0.853, 0.706)  0.02
U (0.156, 0.156, 0.313)  2.03
Sb (0.508, 0.508, 0.016)  -0.08
O (0.742, 0.242, 0.483)  -0.05
O (0.242, 0.742, 0.483)  -0.05

Summary:
- Final energy: -8.490 eV/atom
- Uncorrected formation energy: -2.439 eV/atom